Entry 1:
The following is a PBE-GGA calculation of Ca2TaTl after structural relaxation, from the Alexandria database.

```
Ca2TaTl
1.0
5.684 0.000 0.000
0.000 5.684 0.000
0.000 0.000 3.364
Ca Ta Tl
2 1 1
direct
0.000 0.500 0.000 Ca
0.500 0.000 0.000 Ca
0.000 0.000 0.500 Ta
0.500 0.500 0.500 Tl
```

## Properties
Energy in eV/f.u.: -16.13
Fermi-level density of states in states/eV per cell: 3.5
Energy relative to the elements in meV/atom: 524
SG: P4/mmm (123)

---

Entry 2:
The following is a PBE-GGA calculation of LaTb4Pr2Mg after structural relaxation, from the Alexandria database.

```
LaTb4Pr2Mg
1.0
5.672 0.000 0.000
0.000 5.682 0.000
0.000 0.000 8.139
La Tb Pr Mg
1 4 2 1
direct
0.000 0.000 0.000 La
0.000 0.500 0.232 Tb
0.000 0.500 0.768 Tb
0.500 0.000 0.232 Tb
0.500 0.000 0.768 Tb
0.000 0.000 0.500 Pr
0.500 0.500 0.500 Pr
0.500 0.500 0.000 Mg
```

## Properties
Energy in eV/f.u.: -33.75
Fermi-level density of states in states/eV per cell: 15.4
Energy relative to the elements in meV/atom: 106
SG: Pmmm (47)

---

Entry 3:
The following is a PBE-GGA calculation of La2CuP4Pt3 after structural relaxation, from the Alexandria database.

```
La2CuP4Pt3
1.0
4.339 0.000 0.000
0.000 4.339 0.000
0.000 0.000 9.549
La Cu P Pt
2 1 4 3
direct
0.000 0.500 0.249 La
0.500 0.000 0.751 La
0.000 0.000 0.500 Cu
0.000 0.000 0.000 P
0.000 0.500 0.629 P
0.500 0.000 0.371 P
0.500 0.500 0.000 P
0.000 0.500 0.886 Pt
0.500 0.000 0.114 Pt
0.500 0.500 0.500 Pt
```

## Properties
Energy in eV/f.u.: -63.70
Fermi-level density of states in states/eV per cell: 1.9
Energy relative to the elements in meV/atom: -999
SG: P-4m2 (115)

---

Entry 4:
The following is a PBE-GGA calculation of Ba8Ag3Au after structural relaxation, from the Alexandria database.

```
Ba8Ag3Au
1.0
4.879 2.817 7.548
-4.879 2.817 7.548
0.000 -5.634 7.548
Ba Ag Au
8 3 1
direct
0.247 0.247 0.247 Ba
0.253 0.744 0.744 Ba
0.256 0.256 0.747 Ba
0.256 0.747 0.256 Ba
0.744 0.253 0.744 Ba
0.744 0.744 0.253 Ba
0.747 0.256 0.256 Ba
0.753 0.753 0.753 Ba
0.000 0.000 0.500 Ag
0.000 0.500 0.000 Ag
0.500 0.000 0.000 Ag
0.500 0.500 0.500 Au
```

## Properties
Energy in eV/f.u.: -29.85
Fermi-level density of states in states/eV per cell: 12.8
Energy relative to the elements in meV/atom: -219
SG: R-3m (166)